This record from the Alexandria database describes SmPuPaGa after structural relaxation. The functional is PBE-GGA.

- mass density (Mg/m³) = 11.95
- size of the total moment (μB/f.u.) = 6.98
- DFT total energy (eV per atom) = -7.811
- formation energy from the elements (eV/atom) = 0.08

a b c (Å): 5.1501 5.1501 5.1501
angles (deg): 60.00 60.00 60.00
Last column: nearest neighbours and their distance in Å.
Element x y z (fractional)
Pa 0.5000 0.5000 0.5000  4 Pu 3.15, 4 Sm 3.15
Ga 0.0000 0.0000 0.0000  4 Pu 3.15, 4 Sm 3.15
Sm 0.2500 0.2500 0.2500  4 Pa 3.15, 4 Ga 3.15
Pu 0.7500 0.7500 0.7500  4 Ga 3.15, 4 Pa 3.15